Record 1
{
  "formula": "LiBC",
  "functional": "GGA-PBE",
  "state": "relaxed",
  "m_tot_mub_per_cell": 0.00,
  "formation_enthalpy_0k_ev_per_atom": -0.0005,
  "rho_g_cm3": 1.6,
  "lattice": [[3.3390, 0.0000, 0.0000], [0.0000, 3.3390, 0.0000], [0.0000, 0.0000, 2.8315]],
  "species": ["Li", "B", "C"],
  "frac_coords": [[0.0000, 0.0000, 0.0000], [0.5000, 0.5000, 0.5000], [0.5000, 0.5000, 0.0000]]
}

Record 2
{
  "formula": "LiYP2",
  "functional": "GGA-PBE",
  "state": "relaxed",
  "de_polymorph_kcal_per_mol_atoms": 3.55,
  "m_tot_mub_per_cell": 0.00,
  "formation_enthalpy_0k_ev_per_atom": -0.7172,
  "rho_g_cm3": 3.6,
  "lattice": [[7.8645, 0.0000, 0.0000], [0.0000, 4.0119, 0.0000], [-1.9024, 0.0000, 4.6392]],
  "species": ["Li", "Li", "Y", "Y", "P", "P", "P", "P"],
  "frac_coords": [[0.0000, 0.0000, 0.0000], [0.5000, 0.5000, 0.0000], [0.0000, 0.5000, 0.5000], [0.5000, 0.0000, 0.5000], [0.2451, 0.5000, 0.2025], [0.2549, 0.0000, 0.7975], [0.7451, 0.0000, 0.2025], [0.7549, 0.5000, 0.7975]]
}

Record 3
{
  "formula": "KScW2",
  "functional": "GGA-PBE",
  "state": "relaxed",
  "de_polymorph_kcal_per_mol_atoms": 22.01,
  "m_tot_mub_per_cell": 0.00,
  "formation_enthalpy_0k_ev_per_atom": 1.5779,
  "rho_g_cm3": 8.9,
  "lattice": [[3.9805, 0.0000, 0.0000], [0.0000, 3.9805, 0.0000], [0.0000, 0.0000, 21.2615]],
  "species": ["K", "K", "K", "K", "Sc", "Sc", "Sc", "Sc", "W", "W", "W", "W", "W", "W", "W", "W"],
  "frac_coords": [[0.0000, 0.0000, 0.0000], [0.0000, 0.5000, 0.2500], [0.5000, 0.0000, 0.7500], [0.5000, 0.5000, 0.5000], [0.0000, 0.0000, 0.5000], [0.0000, 0.5000, 0.7500], [0.5000, 0.0000, 0.2500], [0.5000, 0.5000, 0.0000], [0.2153, 0.7500, 0.6250], [0.2500, 0.2153, 0.3750], [0.2500, 0.2847, 0.8750], [0.2847, 0.7500, 0.1250], [0.7153, 0.2500, 0.1250], [0.7500, 0.7153, 0.8750], [0.7500, 0.7847, 0.3750], [0.7847, 0.2500, 0.6250]]
}

Record 4
{
  "formula": "Li2MgHg",
  "functional": "GGA-PBE",
  "state": "relaxed",
  "de_polymorph_kcal_per_mol_atoms": 4.20,
  "m_tot_mub_per_cell": 0.00,
  "formation_enthalpy_0k_ev_per_atom": -0.0918,
  "rho_g_cm3": 4.8,
  "lattice": [[7.6337, 0.0000, 0.0000], [0.0000, 7.6337, 0.0000], [0.0000, 0.0000, 5.6992]],
  "species": ["Li", "Li", "Li", "Li", "Li", "Li", "Li", "Li", "Mg", "Mg", "Mg", "Mg", "Hg", "Hg", "Hg", "Hg"],
  "frac_coords": [[0.2256, 0.2500, 0.1250], [0.2500, 0.7256, 0.3750], [0.2500, 0.7744, 0.8750], [0.2744, 0.2500, 0.6250], [0.7256, 0.7500, 0.6250], [0.7500, 0.2256, 0.8750], [0.7500, 0.2744, 0.3750], [0.7744, 0.7500, 0.1250], [0.0000, 0.0000, 0.5000], [0.0000, 0.5000, 0.7500], [0.5000, 0.0000, 0.2500], [0.5000, 0.5000, 0.0000], [0.0000, 0.0000, 0.0000], [0.0000, 0.5000, 0.2500], [0.5000, 0.0000, 0.7500], [0.5000, 0.5000, 0.5000]]
}

Record 5
{
  "formula": "SmMnAl11",
  "functional": "GGA-PBE",
  "state": "relaxed",
  "m_tot_mub_per_cell": 0.01,
  "formation_enthalpy_0k_ev_per_atom": -0.1851,
  "rho_g_cm3": 3.8,
  "lattice": [[2.6055, -6.3020, 0.0000], [2.6055, 6.3020, 0.0000], [-2.4645, 0.0000, 6.6770]],
  "species": ["Sm", "Mn", "Al", "Al", "Al", "Al", "Al", "Al", "Al", "Al", "Al", "Al", "Al"],
  "frac_coords": [[0.0000, 0.0000, 0.0000], [0.5000, 0.5000, 0.5000], [0.0000, 0.0000, 0.5000], [0.0000, 0.5000, 0.0000], [0.0265, 0.3692, 0.3629], [0.2855, 0.5004, 0.7709], [0.3692, 0.0265, 0.3629], [0.5000, 0.0000, 0.0000], [0.5004, 0.2855, 0.7709], [0.4996, 0.7145, 0.2291], [0.6308, 0.9735, 0.6371], [0.7145, 0.4996, 0.2291], [0.9735, 0.6308, 0.6371]]
}

Record 6
{
  "formula": "Nd2SmHoH",
  "functional": "GGA-PBE",
  "state": "relaxed",
  "total_energy_ev_per_cell": -23.04,
  "m_tot_mub_per_cell": 0.00,
  "rho_g_cm3": 7.5,
  "lattice": [[5.1322, 0.0000, 0.0000], [0.0000, 5.1322, 0.0000], [0.0000, 0.0000, 5.0555]],
  "species": ["Nd", "Nd", "Sm", "Ho", "H"],
  "frac_coords": [[0.0000, 0.5000, 0.0000], [0.5000, 0.0000, 0.0000], [0.0000, 0.0000, 0.5000], [0.5000, 0.5000, 0.5000], [0.5000, 0.5000, 0.0000]]
}

Record 7
{
  "formula": "Hg2SbAs",
  "functional": "GGA-PBE",
  "state": "relaxed",
  "de_polymorph_kcal_per_mol_atoms": 5.42,
  "m_tot_mub_per_cell": 0.00,
  "rho_g_cm3": 7.8,
  "lattice": [[6.3676, 0.0000, 0.0000], [0.0000, 6.3676, 0.0000], [0.0000, 0.0000, 12.5616]],
  "species": ["Hg", "Hg", "Hg", "Hg", "Hg", "Hg", "Hg", "Hg", "Sb", "Sb", "Sb", "Sb", "As", "As", "As", "As"],
  "frac_coords": [[0.2237, 0.2500, 0.1250], [0.2500, 0.7237, 0.3750], [0.2500, 0.7763, 0.8750], [0.2763, 0.2500, 0.6250], [0.7237, 0.7500, 0.6250], [0.7500, 0.2237, 0.8750], [0.7500, 0.2763, 0.3750], [0.7763, 0.7500, 0.1250], [0.0000, 0.0000, 0.5000], [0.0000, 0.5000, 0.7500], [0.5000, 0.0000, 0.2500], [0.5000, 0.5000, 0.0000], [0.0000, 0.0000, 0.0000], [0.0000, 0.5000, 0.2500], [0.5000, 0.0000, 0.7500], [0.5000, 0.5000, 0.5000]]
}

Record 8
{
  "formula": "Ba2Ag2Sn",
  "functional": "GGA-PBE",
  "state": "relaxed",
  "de_polymorph_kcal_per_mol_atoms": 2.05,
  "m_tot_mub_per_cell": 0.00,
  "formation_enthalpy_0k_ev_per_atom": -0.3371,
  "rho_g_cm3": 6.1,
  "lattice": [[8.4564, 0.0000, 0.0000], [0.0000, 8.4564, 0.0000], [0.0000, 0.0000, 4.6126]],
  "species": ["Ba", "Ba", "Ba", "Ba", "Ag", "Ag", "Ag", "Ag", "Sn", "Sn"],
  "frac_coords": [[0.1848, 0.3152, 0.0000], [0.3152, 0.8152, 0.0000], [0.6848, 0.1848, 0.0000], [0.8152, 0.6848, 0.0000], [0.1174, 0.6174, 0.5000], [0.3826, 0.1174, 0.5000], [0.6174, 0.8826, 0.5000], [0.8826, 0.3826, 0.5000], [0.0000, 0.0000, 0.5000], [0.5000, 0.5000, 0.5000]]
}